Here is Tl3CrF6 after structural relaxation from Alexandria. Energies are from PBE with a Hubbard U.

Cell lengths 6.6278, 8.7271, 8.7271 Å; angles 109.31, 90.00, 90.00 degrees
Closest atoms and distances in Å follow each position.
Atoms (fractional coordinates):
F 0.1472 0.3977 0.8696  1 Cr 1.86
F 0.2468 0.7820 0.2180  1 Cr 1.84
Tl 0.4753 0.4038 0.5962  4 F 2.71-2.73
Tl 0.4942 0.8917 0.7071  2 F 2.49-2.55
Tl 0.9753 0.5962 0.4038  4 F 2.71-2.73
Cr 0.5205 0.8034 0.1966  4 F 1.84-1.87
Tl 0.9942 0.7071 0.8917  2 F 2.49-2.55
Cr 0.0205 0.1966 0.8034  4 F 1.84-1.87
F 0.1472 0.1304 0.6023  1 Cr 1.86
Tl 0.4942 0.2929 0.1083  2 F 2.49-2.55
F 0.7329 0.6618 0.6673  4 Tl 2.49-2.73
F 0.6472 0.6023 0.1304  1 Cr 1.86
Tl 0.9942 0.1083 0.2929  2 F 2.49-2.55
F 0.4942 0.9345 0.0655  1 Cr 1.87
F 0.7468 0.2180 0.7820  1 Cr 1.84
F 0.6472 0.8696 0.3977  1 Cr 1.86
F 0.2329 0.3382 0.3327  4 Tl 2.49-2.73
F 0.9942 0.0655 0.9345  1 Cr 1.87
F 0.7329 0.3327 0.3382  4 Tl 2.49-2.73
F 0.2329 0.6673 0.6618  4 Tl 2.49-2.73

Output
E_tot   -4.61 eV/atom
Space-group type   Cmc2_1 (36)
N(E_F)   0.00 states/eV/atom
Total moment   2.93 μB/f.u.